# 1
Crystalline Pr14ErPu at its relaxed geometry, computed with PBE.

* space group: Amm2 (38)
* energy: -84.81 eV/cell
* calculated formation energy: 1.00 eV/f.u.
* mass density: 6.94 g/cm³

abc: 11.9617 7.4139 7.4139
angles: 60.21 90.00 90.00
Closest atoms and distances in Å follow each position.
Fractional coordinates of all 16 atoms:
Pr (0.0000, 0.0000, 0.0000)  12 Pr 3.70-3.76
Pr (0.0000, 0.4985, 0.4985)  12 Pr 3.71-3.74
Pr (0.0000, 0.4995, 0.9982)  12 Pr 3.69-3.77
Pr (0.0000, 0.9982, 0.4995)  12 Pr 3.69-3.77
Pr (0.2518, 0.8315, 0.8315)  11 Pr 3.66-3.72, 1 Er 3.67
Pr (0.2530, 0.3317, 0.3317)  11 Pr 3.63-3.74, 1 Pu 3.64
Pr (0.2582, 0.3333, 0.8267)  1 Pu 3.58, 1 Er 3.60, 10 Pr 3.63-3.77
Pr (0.2582, 0.8267, 0.3333)  1 Pu 3.58, 1 Er 3.60, 10 Pr 3.63-3.77
Pr (0.5000, 0.0027, 0.5002)  8 Pr 3.63-3.74, 2 Pu 3.66-3.75, 2 Er 3.69-3.72
Pr (0.5000, 0.5002, 0.0027)  8 Pr 3.63-3.74, 2 Pu 3.66-3.75, 2 Er 3.69-3.72
Pr (0.7418, 0.3333, 0.8267)  1 Pu 3.58, 1 Er 3.60, 10 Pr 3.63-3.77
Pr (0.7418, 0.8267, 0.3333)  1 Pu 3.58, 1 Er 3.60, 10 Pr 3.63-3.77
Pr (0.7470, 0.3317, 0.3317)  11 Pr 3.63-3.74, 1 Pu 3.64
Pr (0.7482, 0.8315, 0.8315)  11 Pr 3.66-3.72, 1 Er 3.67
Er (0.5000, 0.9998, 0.9998)  10 Pr 3.60-3.72, 2 Pu 3.72
Pu (0.5000, 0.4979, 0.4979)  10 Pr 3.58-3.75, 2 Er 3.72

=====

# 2
Crystalline MnP2Se at its relaxed geometry, computed with PBE.

* ΔE_f (raw): 664.1 meV per atom
* space group: I4/mmm (139)
* energy: -20.82 eV/cell
* mass density: 5.80 g/cm³

abc: 4.5600 4.5600 4.5600
angles: 128.82 128.82 75.31
Closest atoms and distances in Å follow each position.
Fractional coordinates of all 4 atoms:
Mn (0.0000, 0.0000, 0.0000)  8 P 2.67, 4 Se 2.79
P (0.2500, 0.7500, 0.5000)  4 Se 2.67, 4 Mn 2.67, 4 P 2.79
P (0.7500, 0.2500, 0.5000)  4 Se 2.67, 4 Mn 2.67, 4 P 2.79
Se (0.5000, 0.5000, 0.0000)  8 P 2.67, 4 Mn 2.79